# 1
## NiGe2Ir (PBE)

Data for a relaxed structure of NiGe2Ir.

Properties
* crystal system: cubic
* E_tot: -91.8 eV/cell

Unit cell a=6.1778 b=6.1778 c=6.1778 alpha=90.00 beta=90.00 gamma=90.00
Last column: nearest neighbours and their distance in Å.
Element x y z (fractional)
Ni (0.0000, 0.0000, 0.0000)  4 Ir 2.68, 4 Ge 2.68
Ni (0.0000, 0.5000, 0.5000)  4 Ir 2.68, 4 Ge 2.68
Ni (0.5000, 0.0000, 0.5000)  4 Ir 2.68, 4 Ge 2.68
Ni (0.5000, 0.5000, 0.0000)  4 Ir 2.68, 4 Ge 2.68
Ge (0.0000, 0.0000, 0.5000)  4 Ge 2.68, 4 Ir 2.68
Ge (0.0000, 0.5000, 0.0000)  4 Ge 2.68, 4 Ir 2.68
Ge (0.2500, 0.2500, 0.2500)  4 Ni 2.68, 4 Ge 2.68
Ge (0.2500, 0.7500, 0.7500)  4 Ni 2.68, 4 Ge 2.68
Ge (0.5000, 0.0000, 0.0000)  4 Ge 2.68, 4 Ir 2.68
Ge (0.5000, 0.5000, 0.5000)  4 Ge 2.68, 4 Ir 2.68
Ge (0.7500, 0.2500, 0.7500)  4 Ni 2.68, 4 Ge 2.68
Ge (0.7500, 0.7500, 0.2500)  4 Ni 2.68, 4 Ge 2.68
Ir (0.2500, 0.2500, 0.7500)  4 Ge 2.68, 4 Ni 2.68
Ir (0.2500, 0.7500, 0.2500)  4 Ge 2.68, 4 Ni 2.68
Ir (0.7500, 0.2500, 0.2500)  4 Ge 2.68, 4 Ni 2.68
Ir (0.7500, 0.7500, 0.7500)  4 Ge 2.68, 4 Ni 2.68

# 2
## Ni3Ge4Ir (PBE)

Data for a relaxed structure of Ni3Ge4Ir.

Properties
* crystal system: monoclinic
* E_tot: -46.7 eV/cell

Unit cell a=5.4641 b=3.4815 c=6.0374 alpha=90.00 beta=90.01 gamma=90.00
Last column: nearest neighbours and their distance in Å.
Element x y z (fractional)
Ni (0.0000, 0.0000, 0.0000)  6 Ge 2.35-2.51
Ni (0.0115, 0.5000, 0.3853)  6 Ge 2.38-2.65
Ni (0.5062, 0.0000, 0.8914)  6 Ge 2.40-2.51
Ge (0.1973, 0.5000, 0.7899)  5 Ni 2.41-2.65, 1 Ir 2.43
Ge (0.3123, 0.0000, 0.2674)  4 Ni 2.35-2.51, 2 Ir 2.50
Ge (0.6988, 0.5000, 0.1099)  5 Ni 2.38-2.49, 1 Ir 2.60
Ge (0.8238, 0.0000, 0.6160)  4 Ni 2.40-2.51, 2 Ir 2.53
Ir (0.5098, 0.5000, 0.5048)  6 Ge 2.43-2.60

# 3
## Pr2NiGe4Ir (PBE)

Data for a relaxed structure of Pr2NiGe4Ir.

Properties
* crystal system: orthorhombic
* E_tot: -97.0 eV/cell

Unit cell a=4.3678 b=4.2895 c=16.9820 alpha=90.00 beta=90.00 gamma=90.00
Last column: nearest neighbours and their distance in Å.
Element x y z (fractional)
Pr (0.0000, 0.0000, 0.0000)  10 Ge 3.13-3.30, 4 Ni 3.28
Pr (0.0000, 0.5000, 0.5000)  10 Ge 3.13-3.30, 4 Ni 3.28
Pr (0.5000, 0.0000, 0.2168)  10 Ge 3.28-3.34, 4 Ir 3.31, 1 Ni 3.63
Pr (0.5000, 0.5000, 0.7168)  10 Ge 3.28-3.34, 4 Ir 3.31, 1 Ni 3.63
Ni (0.5000, 0.0000, 0.4304)  5 Ge 2.33-2.44
Ni (0.5000, 0.5000, 0.9304)  5 Ge 2.33-2.44
Ge (0.0000, 0.0000, 0.3658)  2 Ni 2.44, 2 Ir 2.50
Ge (0.0000, 0.0000, 0.6474)  1 Ir 2.43, 2 Ge 2.57
Ge (0.0000, 0.5000, 0.1474)  1 Ir 2.43, 2 Ge 2.57
Ge (0.0000, 0.5000, 0.8658)  2 Ni 2.44, 2 Ir 2.50
Ge (0.5000, 0.0000, 0.5677)  1 Ni 2.33, 2 Ge 2.57
Ge (0.5000, 0.0000, 0.8628)  2 Ni 2.43, 2 Ir 2.51
Ge (0.5000, 0.5000, 0.0677)  1 Ni 2.33, 2 Ge 2.57
Ge (0.5000, 0.5000, 0.3628)  2 Ni 2.43, 2 Ir 2.51
Ir (0.0000, 0.0000, 0.7902)  5 Ge 2.43-2.51
Ir (0.0000, 0.5000, 0.2902)  5 Ge 2.43-2.51

# 4
## ScNiGeIr (PBE)

Data for a relaxed structure of ScNiGeIr.

Properties
* crystal system: cubic
* E_tot: -105.8 eV/cell

Unit cell a=6.2608 b=6.2608 c=6.2608 alpha=90.00 beta=90.00 gamma=90.00
Last column: nearest neighbours and their distance in Å.
Element x y z (fractional)
Sc (0.0000, 0.0000, 0.0000)  4 Ge 2.71, 4 Ir 2.71
Sc (0.0000, 0.5000, 0.5000)  4 Ge 2.71, 4 Ir 2.71
Sc (0.5000, 0.0000, 0.5000)  4 Ge 2.71, 4 Ir 2.71
Sc (0.5000, 0.5000, 0.0000)  4 Ge 2.71, 4 Ir 2.71
Ni (0.0000, 0.0000, 0.5000)  4 Ir 2.71, 4 Ge 2.71
Ni (0.0000, 0.5000, 0.0000)  4 Ir 2.71, 4 Ge 2.71
Ni (0.5000, 0.0000, 0.0000)  4 Ir 2.71, 4 Ge 2.71
Ni (0.5000, 0.5000, 0.5000)  4 Ir 2.71, 4 Ge 2.71
Ge (0.2500, 0.2500, 0.2500)  4 Ni 2.71, 4 Sc 2.71
Ge (0.2500, 0.7500, 0.7500)  4 Ni 2.71, 4 Sc 2.71
Ge (0.7500, 0.2500, 0.7500)  4 Ni 2.71, 4 Sc 2.71
Ge (0.7500, 0.7500, 0.2500)  4 Ni 2.71, 4 Sc 2.71
Ir (0.2500, 0.2500, 0.7500)  4 Ni 2.71, 4 Sc 2.71
Ir (0.2500, 0.7500, 0.2500)  4 Ni 2.71, 4 Sc 2.71
Ir (0.7500, 0.2500, 0.2500)  4 Ni 2.71, 4 Sc 2.71
Ir (0.7500, 0.7500, 0.7500)  4 Ni 2.71, 4 Sc 2.71

# 5
## SiNi2GeIr2 (PBE)

Data for a relaxed structure of SiNi2GeIr2.

Properties
* crystal system: tetragonal
* E_tot: -40.9 eV/cell

Unit cell a=3.5706 b=3.5706 c=6.1558 alpha=90.00 beta=90.00 gamma=90.00
Last column: nearest neighbours and their distance in Å.
Element x y z (fractional)
Si (0.0000, 0.0000, 0.0000)  4 Ni 2.34, 5 Ir 2.35-2.58
Ni (0.0000, 0.5000, 0.2469)  2 Si 2.34, 2 Ge 2.41, 4 Ni 2.52
Ni (0.5000, 0.0000, 0.2469)  2 Si 2.34, 2 Ge 2.41, 4 Ni 2.52
Ge (0.5000, 0.5000, 0.5107)  4 Ni 2.41, 5 Ir 2.46-2.61
Ir (0.0000, 0.0000, 0.6188)  1 Si 2.35, 4 Ge 2.61
Ir (0.5000, 0.5000, 0.9099)  1 Ge 2.46, 4 Si 2.58, 4 Ni 2.74

# 6
## SrNiGe2Ir (PBE)

Data for a relaxed structure of SrNiGe2Ir.

Properties
* crystal system: tetragonal
* E_tot: -56.2 eV/cell

Unit cell a=4.2113 b=4.2113 c=10.6439 alpha=90.00 beta=90.00 gamma=90.00
Last column: nearest neighbours and their distance in Å.
Element x y z (fractional)
Sr (0.0000, 0.0000, 0.0000)  8 Ge 3.29, 4 Ni 3.39, 4 Ir 3.39
Sr (0.5000, 0.5000, 0.5000)  8 Ge 3.29, 4 Ni 3.39, 4 Ir 3.39
Ni (0.0000, 0.5000, 0.7500)  4 Ge 2.45
Ni (0.5000, 0.0000, 0.2500)  4 Ge 2.45
Ge (0.0000, 0.0000, 0.3681)  2 Ni 2.45, 2 Ir 2.45
Ge (0.0000, 0.0000, 0.6319)  2 Ni 2.45, 2 Ir 2.45
Ge (0.5000, 0.5000, 0.1319)  2 Ni 2.45, 2 Ir 2.45
Ge (0.5000, 0.5000, 0.8681)  2 Ni 2.45, 2 Ir 2.45
Ir (0.0000, 0.5000, 0.2500)  4 Ge 2.45
Ir (0.5000, 0.0000, 0.7500)  4 Ge 2.45